No. 1
RbTm2AuS4 | PBE | optimized geometry

Summary:
calculated volume: 24.23 A^3/atom
raw formation energy: -1.51 eV/atom
magnetic moment: 0.000 μB per atom
symmetry: Cmcm

The structure in POSCAR format:
```
RbTm2AuS4
1.0
-1.622 -2.747 -2.441
5.390 2.982 -3.631
8.801 -9.715 5.084
Rb Tm Au S
2 4 2 8
Cartesian
7.691 -6.903 2.657
4.877 -2.577 -3.646
8.370 -4.316 -0.705
0.970 -1.601 -2.148
4.198 -5.164 -0.284
11.598 -7.879 1.159
8.883 -7.573 -0.686
3.685 -1.907 -0.303
3.225 -0.121 -2.007
6.666 -6.404 -0.528
9.343 -9.359 1.018
5.902 -3.076 -0.461
4.400 -4.857 2.542
0.000 0.000 0.000
10.659 -5.861 -0.488
1.909 -3.620 -0.501
```

No. 2
RbTmAuS2 | PBE | optimized geometry

Summary:
calculated volume: 28.55 A^3/atom
raw formation energy: -1.15 eV/atom
magnetic moment: 0.000 μB per atom
symmetry: P2/c

The structure in POSCAR format:
```
RbTmAuS2
1.0
5.005 0.000 0.000
0.000 7.601 0.554
0.000 -1.770 7.374
Rb Tm Au S
2 2 2 4
Cartesian
0.696 2.473 5.807
4.310 3.358 2.120
2.473 -0.442 1.844
2.533 -1.327 5.531
0.000 0.000 0.000
0.000 -0.885 3.687
3.194 4.136 7.534
3.194 0.810 4.081
1.812 5.021 3.847
1.812 1.695 0.394
```

No. 3
RbUAuS3 | PBE | optimized geometry

Summary:
calculated volume: 27.35 A^3/atom
raw formation energy: -1.05 eV/atom
magnetic moment: 0.330 μB per atom
symmetry: P2_1/m

The structure in POSCAR format:
```
RbUAuS3
1.0
-1.141 -3.402 -1.682
7.095 0.323 -5.465
2.140 -4.857 8.372
Rb U Au S
2 2 2 6
Cartesian
1.754 -1.929 0.377
6.340 -6.008 0.848
4.876 -1.407 -2.796
3.217 -6.530 4.021
1.683 -3.458 3.517
6.411 -4.479 -2.292
5.667 -2.988 -4.805
2.426 -4.949 6.029
5.713 -2.748 -0.652
2.380 -5.189 1.876
2.706 -3.050 -2.670
5.387 -4.887 3.894
```

No. 4
Rb4U3AuS8 | PBE | optimized geometry

Summary:
calculated volume: 27.72 A^3/atom
raw formation energy: -1.18 eV/atom
magnetic moment: 0.438 μB per atom
symmetry: C2/m

The structure in POSCAR format:
```
Rb4U3AuS8
1.0
8.067 0.000 0.000
0.000 9.020 0.560
-4.033 -4.098 5.841
Rb U Au S
4 3 1 8
Cartesian
4.033 0.000 0.000
2.017 -2.049 2.921
0.000 0.000 0.000
-2.017 -2.049 2.921
4.033 4.510 0.280
2.017 2.461 3.201
-2.017 2.461 3.201
0.000 4.510 0.280
-1.966 2.317 5.950
0.000 4.285 3.264
0.000 0.552 3.329
1.966 2.317 5.950
2.067 2.605 0.452
4.033 4.370 3.072
4.033 0.637 3.138
6.000 2.605 0.452
```

No. 5
Rb2UAuS4 | PBE | optimized geometry

Summary:
calculated volume: 31.57 A^3/atom
raw formation energy: -0.84 eV/atom
magnetic moment: 0.122 μB per atom
symmetry: I-4

The structure in POSCAR format:
```
Rb2UAuS4
1.0
-1.584 5.905 -3.245
1.050 -5.282 -4.348
-5.131 -2.347 4.009
Rb U Au S
2 1 1 4
Cartesian
-1.287 -1.596 -3.881
0.000 0.000 0.000
-4.378 -0.129 0.297
-2.040 -3.815 -0.169
-2.818 0.573 -1.556
-3.321 -2.191 1.291
-1.511 2.025 -4.805
-3.680 -3.856 -2.097
```

No. 6
RbU2Au2S6 | PBE | optimized geometry

Summary:
calculated volume: 28.27 A^3/atom
raw formation energy: -0.92 eV/atom
magnetic moment: 0.273 μB per atom
symmetry: P-1

The structure in POSCAR format:
```
RbU2Au2S6
1.0
7.253 -0.083 0.031
3.564 6.772 -0.602
0.062 -4.343 6.686
Rb U Au S
1 2 2 6
Cartesian
3.658 -2.213 3.358
7.336 -1.453 5.442
3.543 3.798 0.673
4.838 1.782 4.964
6.041 0.564 1.151
5.887 4.943 -0.062
8.619 2.260 0.919
4.249 3.247 3.266
2.259 0.086 5.196
6.629 -0.902 2.849
4.992 -2.597 6.176
```

No. 7
Rb3U3AuS8 | PBE | optimized geometry

Summary:
calculated volume: 28.73 A^3/atom
raw formation energy: -1.19 eV/atom
magnetic moment: 0.400 μB per atom
symmetry: C2/m

The structure in POSCAR format:
```
Rb3U3AuS8
1.0
7.780 0.000 0.000
-3.890 7.128 -0.100
0.000 -4.815 7.837
Rb U Au S
3 3 1 8
Cartesian
0.000 0.000 0.000
-1.945 3.564 -0.050
1.945 3.564 -0.050
3.890 -2.408 3.918
1.945 1.157 3.869
-1.945 1.157 3.869
0.000 -2.408 3.918
0.000 2.377 2.346
3.890 -0.063 5.391
3.890 1.929 2.224
0.000 0.385 5.513
5.836 -1.187 2.492
-1.946 3.500 5.246
1.944 -1.187 2.492
1.946 3.500 5.246
```

No. 8
Rb2UAu2S6 | PBE | optimized geometry

Summary:
calculated volume: 31.46 A^3/atom
raw formation energy: -0.68 eV/atom
magnetic moment: 0.000 μB per atom
symmetry: P-3

The structure in POSCAR format:
```
Rb2UAu2S6
1.0
7.411 0.000 0.000
-3.706 6.418 0.000
0.000 0.000 7.275
Rb U Au S
2 1 2 6
Cartesian
3.706 2.139 5.134
0.000 4.279 2.141
0.000 0.000 0.000
0.000 4.279 5.822
3.706 2.139 1.453
-0.300 1.956 5.658
2.162 5.181 5.658
-1.862 5.700 5.658
4.005 4.462 1.617
1.544 1.237 1.617
5.568 0.718 1.617
```

Among the records above, which one has the highest raw formation energy?
Rb2UAu2S6